First-principles (PBE) data for a geometry-optimized Nb2V3Ge2 structure, as listed in Alexandria.

Output
- Formation enthalpy at 0 K: -0.248 eV per atom
- Mass density: 7.4 g cm⁻³
- Spin magnetization: 0.0 μB per cell
- Uncorrected energy: -8.35 eV/atom
- Symmetry: C2/m (12)

Cell lengths 5.1200, 5.1200, 6.6559 Å; angles 94.66, 94.66, 38.55 degrees
Fractional coordinates of all 7 atoms:
Nb1 0.1300 0.1300 0.3336
Nb2 0.8700 0.8700 0.6664
V1 0.1912 0.1912 0.8821
V2 0.5000 0.5000 0.0000
V3 0.8088 0.8088 0.1179
Ge1 0.4097 0.4097 0.3532
Ge2 0.5903 0.5903 0.6468